No. 1
A plane-wave DFT calculation with GGA-PBE was carried out for CeSmCoTc after structural relaxation.

Results
Density in g/cm³: 9.2
Total energy in eV per atom: -6.979
Space-group type: F-43m (216)
Calculated formation energy in eV/atom: 0.052
Calculated volume in Å³/atom: 20.285

abc: 4.8594 4.8594 4.8594
angles: 60.00 60.00 60.00
Closest atoms and distances in Å follow each position.
Positions (direct):
Co  0.2500  0.2500  0.2500  4 Ce 2.98, 4 Sm 2.98
Ce  0.5000  0.5000  0.5000  4 Tc 2.98, 4 Co 2.98
Sm  0.0000  0.0000  0.0000  4 Co 2.98, 4 Tc 2.98
Tc  0.7500  0.7500  0.7500  4 Sm 2.98, 4 Ce 2.98

***

No. 2
A plane-wave DFT calculation with GGA-PBE was carried out for CeSm2ThCo2 after structural relaxation.

Results
Density in g/cm³: 8.7
Total energy in eV per atom: -6.310
Space-group type: Ibam (72)
Calculated formation energy in eV/atom: -0.142
Calculated volume in Å³/atom: 25.066

abc: 6.9689 7.0137 7.8949
angles: 116.38 116.20 90.00
Closest atoms and distances in Å follow each position.
Positions (direct):
Ce  0.7500  0.5000  0.0000  4 Co 2.58
Ce  0.2500  0.5000  0.0000  4 Co 2.58
Sm  0.7014  0.9062  0.4029  1 Co 2.74
Sm  0.2014  0.4966  0.4028  1 Co 2.74
Sm  0.7986  0.5034  0.5972  1 Co 2.74
Sm  0.2986  0.0938  0.5971  1 Co 2.74
Th  0.2500  0.0001  0.0000  4 Co 2.73
Th  0.7500  0.9999  0.0000  4 Co 2.73
Co  0.4211  0.6543  0.8424  2 Ce 2.58, 2 Th 2.73, 1 Sm 2.74
Co  0.5789  0.3457  0.1576  2 Ce 2.58, 2 Th 2.73, 1 Sm 2.74
Co  0.0789  0.8120  0.1576  2 Ce 2.58, 2 Th 2.73, 1 Sm 2.74
Co  0.9211  0.1880  0.8424  2 Ce 2.58, 2 Th 2.73, 1 Sm 2.74

***

No. 3
A plane-wave DFT calculation with GGA-PBE was carried out for Ce2SmTlCo after structural relaxation.

Results
Density in g/cm³: 8.4
Total energy in eV per atom: -5.424
Space-group type: P4/mmm (123)
Calculated formation energy in eV/atom: -0.212
Calculated volume in Å³/atom: 27.553

abc: 4.9587 4.9591 5.6023
angles: 90.00 90.00 90.00
Closest atoms and distances in Å follow each position.
Positions (direct):
Ce  0.0000  0.5000  0.9999  2 Co 2.48
Ce  0.5000  0.0000  0.9999  2 Co 2.48
Sm  0.0000  0.0000  0.4999  2 Co 2.80
Tl  0.5000  0.5000  0.5003  4 Sm 3.51, 8 Ce 3.74
Co  0.0000  0.0000  0.0000  4 Ce 2.48

***

No. 4
A plane-wave DFT calculation with GGA-PBE was carried out for CeSm2TmCo2 after structural relaxation.

Results
Density in g/cm³: 8.4
Total energy in eV per atom: -5.797
Space-group type: Ibam (72)
Calculated formation energy in eV/atom: -0.121
Calculated volume in Å³/atom: 23.999

abc: 6.6580 6.7375 7.9778
angles: 114.98 114.66 90.00
Closest atoms and distances in Å follow each position.
Positions (direct):
Ce  0.7500  0.5000  0.0000  4 Co 2.52
Ce  0.2500  0.5000  0.0000  4 Co 2.52
Sm  0.6990  0.9149  0.3979  1 Co 2.69
Sm  0.1990  0.4830  0.3979  1 Co 2.69
Sm  0.8010  0.5170  0.6021  1 Co 2.69
Sm  0.3010  0.0851  0.6021  1 Co 2.69
Tm  0.2500  0.0000  0.0000  4 Co 2.81
Tm  0.7500  0.0000  0.0000  4 Co 2.81
Co  0.4057  0.6228  0.8115  2 Ce 2.52, 1 Sm 2.69, 2 Tm 2.81
Co  0.5943  0.3772  0.1885  2 Ce 2.52, 1 Sm 2.69, 2 Tm 2.81
Co  0.0943  0.8113  0.1885  2 Ce 2.52, 1 Sm 2.69, 2 Tm 2.81
Co  0.9057  0.1887  0.8115  2 Ce 2.52, 1 Sm 2.69, 2 Tm 2.81

***

No. 5
A plane-wave DFT calculation with GGA-PBE was carried out for CeSmZnCo after structural relaxation.

Results
Density in g/cm³: 7.9
Total energy in eV per atom: -4.864
Space-group type: F-43m (216)
Calculated formation energy in eV/atom: -0.106
Calculated volume in Å³/atom: 21.707

abc: 4.9704 4.9704 4.9704
angles: 60.00 60.00 60.00
Closest atoms and distances in Å follow each position.
Positions (direct):
Zn  0.0000  0.0000  0.0000  4 Ce 3.04, 4 Sm 3.04
Co  0.5000  0.5000  0.5000  4 Ce 3.04, 4 Sm 3.04
Ce  0.7500  0.7500  0.7500  4 Co 3.04, 4 Zn 3.04
Sm  0.2500  0.2500  0.2500  4 Co 3.04, 4 Zn 3.04

***

No. 6
A plane-wave DFT calculation with GGA-PBE was carried out for CeCoSn after structural relaxation.

Results
Density in g/cm³: 8.8
Total energy in eV per atom: -5.947
Space-group type: I4mm (107)
Calculated formation energy in eV/atom: -0.266
Calculated volume in Å³/atom: 19.969

abc: 3.2126 3.2126 6.2333
angles: 104.93 104.93 90.00
Closest atoms and distances in Å follow each position.
Positions (direct):
Co  0.6752  0.6752  0.3504  4 Sn 2.72, 4 Ce 2.89
Sn  0.3038  0.3038  0.6077  4 Co 2.72
Ce  0.0210  0.0210  0.0420  4 Co 2.89, 4 Ce 3.21

***

No. 7
A plane-wave DFT calculation with GGA-PBE was carried out for Ce2CoSn after structural relaxation.

Results
Density in g/cm³: 8.5
Total energy in eV per atom: -6.098
Space-group type: P4/mmm (123)
Calculated formation energy in eV/atom: -0.354
Calculated volume in Å³/atom: 22.427

abc: 3.2577 3.2577 8.4531
angles: 90.00 90.00 90.00
Closest atoms and distances in Å follow each position.
Positions (direct):
Co  0.5000  0.5000  0.0000  8 Ce 2.88
Sn  0.5000  0.5000  0.5000  4 Sn 3.26, 8 Ce 3.40
Ce  0.0000  0.0000  0.7951  4 Co 2.88
Ce  0.0000  0.0000  0.2049  4 Co 2.88

***

No. 8
A plane-wave DFT calculation with GGA-PBE was carried out for Ce12Co6Sn after structural relaxation.

Results
Density in g/cm³: 8.0
Total energy in eV per atom: -6.397
Space-group type: Im-3 (204)
Calculated formation energy in eV/atom: -0.194
Calculated volume in Å³/atom: 23.449

abc: 8.3336 8.3336 8.3336
angles: 109.47 109.47 109.47
Closest atoms and distances in Å follow each position.
Positions (direct):
Ce  0.3086  0.1286  0.8200  1 Co 2.52
Ce  0.3086  0.4886  0.1800  1 Co 2.52
Ce  0.6914  0.5114  0.8200  1 Co 2.52
Ce  0.6914  0.8714  0.1800  1 Co 2.52
Ce  0.1286  0.8200  0.3086  1 Co 2.52
Ce  0.4886  0.1800  0.3086  1 Co 2.52
Ce  0.5114  0.8200  0.6914  1 Co 2.52
Ce  0.8714  0.1800  0.6914  1 Co 2.52
Ce  0.8200  0.3086  0.1286  1 Co 2.52
Ce  0.1800  0.3086  0.4886  1 Co 2.52
Ce  0.8200  0.6914  0.5114  1 Co 2.52
Ce  0.1800  0.6914  0.8714  1 Co 2.52
Co  0.3585  0.5000  0.8585  2 Ce 2.52, 1 Co 2.72
Co  0.6415  0.5000  0.1415  2 Ce 2.52, 1 Co 2.72
Co  0.5000  0.8585  0.3585  2 Ce 2.52, 1 Co 2.72
Co  0.5000  0.1415  0.6415  2 Ce 2.52, 1 Co 2.72
Co  0.8585  0.3585  0.5000  2 Ce 2.52, 1 Co 2.72
Co  0.1415  0.6415  0.5000  2 Ce 2.52, 1 Co 2.72
Sn  0.0000  0.0000  0.0000  12 Ce 3.44

***

No. 9
A plane-wave DFT calculation with GGA-PBE was carried out for CeCo2Sn2 after structural relaxation.

Results
Density in g/cm³: 8.1
Total energy in eV per atom: -5.750
Space-group type: Fddd (70)
Calculated formation energy in eV/atom: -0.119
Calculated volume in Å³/atom: 20.304

abc: 5.6382 5.6382 7.5957
angles: 103.16 103.16 112.72
Closest atoms and distances in Å follow each position.
Positions (direct):
Ce  0.8750  0.6250  0.7500  2 Co 2.30
Ce  0.1250  0.3750  0.2500  2 Co 2.30
Co  0.1195  0.3805  0.7500  1 Ce 2.30, 2 Sn 2.54
Co  0.3696  0.1304  0.2500  1 Ce 2.30, 2 Sn 2.54
Co  0.6304  0.8696  0.7500  1 Ce 2.30, 2 Sn 2.54
Co  0.8805  0.6195  0.2500  1 Ce 2.30, 2 Sn 2.54
Sn  0.2698  0.0198  0.5398  4 Co 2.54-2.81
Sn  0.5198  0.7698  0.0398  4 Co 2.54-2.81
Sn  0.7302  0.9802  0.4602  4 Co 2.54-2.81
Sn  0.4802  0.2302  0.9602  4 Co 2.54-2.81

***

No. 10
A plane-wave DFT calculation with GGA-PBE was carried out for CeCoSn2 after structural relaxation.

Results
Density in g/cm³: 7.9
Total energy in eV per atom: -5.669
Space-group type: Cmmm (65)
Calculated formation energy in eV/atom: -0.407
Calculated volume in Å³/atom: 23.055

abc: 4.2750 4.9448 4.9448
angles: 118.09 90.00 90.00
Closest atoms and distances in Å follow each position.
Positions (direct):
Ce  0.5000  0.5000  0.0000  2 Co 2.54
Co  0.5000  0.0000  0.5000  2 Ce 2.54, 4 Sn 2.60
Sn  0.0000  0.1748  0.3252  2 Co 2.60, 2 Sn 2.85
Sn  0.0000  0.8252  0.6748  2 Co 2.60, 2 Sn 2.85

***

No. 11
A plane-wave DFT calculation with GGA-PBE was carried out for CeCoSn after structural relaxation.

Results
Density in g/cm³: 8.1
Total energy in eV per atom: -6.176
Space-group type: P2_1/m (11)
Calculated formation energy in eV/atom: -0.495
Calculated volume in Å³/atom: 21.608

abc: 4.6403 4.4188 6.7428
angles: 110.33 90.00 90.00
Closest atoms and distances in Å follow each position.
Positions (direct):
Ce  0.7523  0.9648  0.8025  1 Co 2.27
Ce  0.2522  0.0429  0.2007  1 Co 2.27
Co  0.7522  0.1744  0.5398  1 Ce 2.27
Co  0.2522  0.8333  0.4634  1 Ce 2.27
Sn  0.7522  0.5730  0.2754  4 Co 2.64-2.91
Sn  0.2523  0.4347  0.7279  4 Co 2.64-2.91

***

No. 12
A plane-wave DFT calculation with GGA-PBE was carried out for Ce2CoSn3 after structural relaxation.

Results
Density in g/cm³: 7.6
Total energy in eV per atom: -5.566
Space-group type: Pmm2 (25)
Calculated formation energy in eV/atom: -0.402
Calculated volume in Å³/atom: 25.300

abc: 4.0933 4.7103 7.8733
angles: 90.00 90.00 90.00
Closest atoms and distances in Å follow each position.
Positions (direct):
Ce  0.0000  0.5000  0.0410  2 Co 2.91
Ce  0.0000  0.0000  0.4977  8 Sn 3.15-3.35, 4 Co 3.47
Co  0.5000  0.5000  0.3042  3 Sn 2.51-2.56
Sn  0.5000  0.0000  0.8350  3 Sn 2.82-2.86
Sn  0.5000  0.0000  0.1927  2 Co 2.51
Sn  0.5000  0.5000  0.6293  1 Co 2.56, 2 Sn 2.86